No. 1
Below is a geometry-optimized Y2BeTe structure, with properties calculated at the PBE level.

Computed properties:
Formation energy from raw total energies   -2.134 eV/f.u.
V   313.6 Å³/cell
Space group   R-3m (166)
Distance to the lowest polymorph of the same formula   25 meV/atom
Theoretical density   4995 kg/m³

```
12
Lattice="4.0416 0.0000 0.0000 -2.0208 3.5001 0.0000 0.0000 0.0000 22.1592" Properties=species:S:1:pos:R:3 pbc="T T T"
Y 0.0000 0.0000 5.3666
Y 0.0000 0.0000 16.7926
Y 0.0000 2.3334 9.4062
Y 0.0000 2.3334 20.1394
Y 2.0208 1.1667 2.0198
Y 2.0208 1.1667 12.7530
Be 0.0000 0.0000 11.0796
Be 0.0000 2.3334 3.6932
Be 2.0208 1.1667 18.4660
Te 0.0000 0.0000 0.0000
Te 0.0000 2.3334 14.7728
Te 2.0208 1.1667 7.3864
```

No. 2
Below is a geometry-optimized Y5BeTe4 structure, with properties calculated at the PBE level.

Computed properties:
Formation energy from raw total energies   -10.723 eV/f.u.
V   283.8 Å³/cell
Space group   I4/m (87)
Theoretical density   5640 kg/m³

```
10
Lattice="-4.8280 4.8280 3.0439 4.8280 -4.8280 3.0439 4.8280 4.8280 -3.0439" Properties=species:S:1:pos:R:3 pbc="T T T"
Y 0.0000 0.0000 0.0000
Y 5.7392 2.2415 0.0000
Y 2.2415 3.9168 0.0000
Y 2.5865 0.9112 3.0439
Y -0.9112 2.5865 3.0439
Be 0.0000 0.0000 3.0439
Te 2.9695 0.8566 0.0000
Te 3.9714 -1.8585 3.0439
Te 0.8566 6.6866 0.0000
Te 1.8585 3.9714 3.0439
```

No. 3
Below is a geometry-optimized Y2BeTe structure, with properties calculated at the PBE level.

Computed properties:
Formation energy from raw total energies   -1.388 eV/f.u.
V   190.1 Å³/cell
Space group   Imm2 (44)
Distance to the lowest polymorph of the same formula   211 meV/atom
Theoretical density   5493 kg/m³

```
8
Lattice="3.7857 0.0000 0.0000 0.0000 4.6701 0.0000 0.0000 0.0000 10.7528" Properties=species:S:1:pos:R:3 pbc="T T T"
Y 0.0000 0.0000 0.0000
Y 0.0000 2.3350 2.4945
Y 1.8929 0.0000 7.8709
Y 1.8929 2.3350 5.3764
Be 0.0000 2.3350 8.1370
Be 1.8929 0.0000 2.7607
Te 0.0000 0.0000 4.6933
Te 1.8929 2.3350 10.0697
```

No. 4
Below is a geometry-optimized YBe2Te structure, with properties calculated at the PBE level.

Computed properties:
Formation energy from raw total energies   -0.136 eV/f.u.
V   149.0 Å³/cell
Space group   Imm2 (44)
Distance to the lowest polymorph of the same formula   4 meV/atom
Theoretical density   5227 kg/m³

```
8
Lattice="3.8041 0.0000 0.0000 0.0000 3.8438 0.0000 0.0000 0.0000 10.1918" Properties=species:S:1:pos:R:3 pbc="T T T"
Y 0.0000 0.0000 0.0000
Y 1.9020 1.9219 5.0959
Be 0.0000 0.0000 4.2149
Be 0.0000 1.9219 7.9342
Be 1.9020 0.0000 2.8383
Be 1.9020 1.9219 9.3108
Te 0.0000 1.9219 2.4987
Te 1.9020 0.0000 7.5946
```

No. 5
Below is a geometry-optimized YBe2Te structure, with properties calculated at the PBE level.

Computed properties:
Formation energy from raw total energies   0.387 eV/f.u.
V   146.2 Å³/cell
Space group   Cmmm (65)
Distance to the lowest polymorph of the same formula   135 meV/atom
Theoretical density   5328 kg/m³

```
8
Lattice="6.0244 0.0000 0.0000 0.0000 6.0754 0.0000 0.0000 0.0000 3.9938" Properties=species:S:1:pos:R:3 pbc="T T T"
Y 0.0000 0.0000 0.0000
Y 3.0122 3.0377 0.0000
Be 1.5061 1.5188 1.9969
Be 1.5061 4.5565 1.9969
Be 4.5183 1.5188 1.9969
Be 4.5183 4.5565 1.9969
Te 0.0000 3.0377 0.0000
Te 3.0122 0.0000 0.0000
```

No. 6
Below is a geometry-optimized Y2BeTe structure, with properties calculated at the PBE level.

Computed properties:
Formation energy from raw total energies   -1.673 eV/f.u.
V   95.9 Å³/cell
Space group   P4/mmm (123)
Distance to the lowest polymorph of the same formula   140 meV/atom
Theoretical density   5443 kg/m³

```
4
Lattice="3.7283 0.0000 0.0000 0.0000 3.7283 0.0000 0.0000 0.0000 6.9007" Properties=species:S:1:pos:R:3 pbc="T T T"
Y 0.0000 0.0000 1.6060
Y 0.0000 0.0000 5.2948
Be 1.8641 1.8641 0.0000
Te 1.8641 1.8641 3.4504
```

No. 7
Below is a geometry-optimized Y2BeTe structure, with properties calculated at the PBE level.

Computed properties:
Formation energy from raw total energies   -1.042 eV/f.u.
V   388.3 Å³/cell
Space group   Fm-3m (225)
Distance to the lowest polymorph of the same formula   297 meV/atom
Theoretical density   5378 kg/m³

```
16
Lattice="7.2957 0.0000 0.0000 0.0000 7.2957 0.0000 0.0000 0.0000 7.2957" Properties=species:S:1:pos:R:3 pbc="T T T"
Y 1.8239 1.8239 1.8239
Y 1.8239 1.8239 5.4718
Y 1.8239 5.4718 1.8239
Y 1.8239 5.4718 5.4718
Y 5.4718 1.8239 1.8239
Y 5.4718 1.8239 5.4718
Y 5.4718 5.4718 1.8239
Y 5.4718 5.4718 5.4718
Be 0.0000 0.0000 0.0000
Be 0.0000 3.6479 3.6479
Be 3.6479 0.0000 3.6479
Be 3.6479 3.6479 0.0000
Te 0.0000 0.0000 3.6479
Te 0.0000 3.6479 0.0000
Te 3.6479 0.0000 0.0000
Te 3.6479 3.6479 3.6479
```

No. 8
Below is a geometry-optimized Y2BeTe structure, with properties calculated at the PBE level.

Computed properties:
Formation energy from raw total energies   -1.774 eV/f.u.
V   106.7 Å³/cell
Space group   P4/mmm (123)
Distance to the lowest polymorph of the same formula   114 meV/atom
Theoretical density   4894 kg/m³

```
4
Lattice="4.2252 0.0000 0.0000 0.0000 4.2252 0.0000 0.0000 0.0000 5.9760" Properties=species:S:1:pos:R:3 pbc="T T T"
Y 0.0000 0.0000 0.0000
Y 2.1126 2.1126 2.9880
Be 0.0000 0.0000 2.9880
Te 2.1126 2.1126 0.0000
```

Computed values of total magnetic moment (unit: μB per cell) for the preceding records, in sequence: 0.00, 0.00, 0.00, 0.00, 0.00, 0.12, 0.00, 0.00.